Entry 1:
A relaxed structure of ReHgOs. Source: the Alexandria database, functional GGA-PBE.

a b c (Å): 2.863 3.811 9.207
angles (deg): 90.00 90.00 90.00
Space group Imm2 (No. 44)
Asymmetric unit:
Re1 0.000 0.000 0.000 x2
Hg1 0.000 0.000 0.690 x2
Os1 0.000 0.000 0.378 x2

Properties
Its theoretical density is 19.1 g/cm3. The crystal system is orthorhombic. The calculation puts the magnetic moment at 0.000 μB/atom. The electronic total energy comes out at -7.33 eV per atom. Its calculated formation energy is 1.98 eV/f.u. The energy above the most stable polymorph in this dataset is 219 meV/atom.


Entry 2:
A relaxed structure of YTmMg. Source: the Alexandria database, functional GGA-PBE.

a b c (Å): 3.427 5.300 5.390
angles (deg): 90.00 90.00 90.00
Space group Pmmm (No. 47)
Asymmetric unit:
Y1 0.000 0.000 0.000 x1
Tm1 0.000 0.500 0.500 x1
Mg1 0.500 0.000 0.500 x1

Properties
Its theoretical density is 4.8 g/cm3. The crystal system is orthorhombic. The calculation puts the magnetic moment at 0.000 μB/atom. The electronic total energy comes out at -3.82 eV per atom. Its calculated formation energy is 1.08 eV/f.u. The energy above the most stable polymorph in this dataset is 398 meV/atom.


Entry 3:
A relaxed structure of Na3Cu2Se4. Source: the Alexandria database, functional GGA-PBE.

a b c (Å): 3.977 6.878 8.277
angles (deg): 114.03 103.85 90.02
Space group P-1 (No. 2)
Asymmetric unit:
Na1 0.000 0.000 0.000 x1
Na2 0.142 0.559 0.283 x2
Cu1 0.309 0.023 0.620 x2
Se1 0.200 0.192 0.399 x2
Se2 0.472 0.302 0.943 x2

Properties
Its theoretical density is 4.3 g/cm3. The crystal system is triclinic. The calculation puts the magnetic moment at 0.000 μB/atom. The electronic total energy comes out at -3.51 eV per atom. The uncorrected formation energy comes out at -0.61 eV/atom.


Entry 4:
A relaxed structure of BaTl5Pb2. Source: the Alexandria database, functional GGA-PBE.

a b c (Å): 8.822 8.822 14.051
angles (deg): 90.00 90.00 90.00
Space group I4/mcm (No. 140)
Asymmetric unit:
Ba1 0.000 0.000 0.250 x4
Tl1 0.000 0.000 0.000 x4
Tl2 0.144 0.356 0.152 x16
Pb1 0.145 0.355 0.500 x8

Properties
Its theoretical density is 9.6 g/cm3. The crystal system is tetragonal. The calculation puts the magnetic moment at 0.000 μB/atom. The electronic total energy comes out at -2.72 eV per atom. Its calculated formation energy is -0.55 eV/f.u. The energy above the most stable polymorph in this dataset is 71 meV/atom.


Entry 5:
A relaxed structure of NaLaYIn. Source: the Alexandria database, functional GGA-PBE.

a b c (Å): 7.832 7.832 7.832
angles (deg): 90.00 90.00 90.00
Space group F-43m (No. 216)
Asymmetric unit:
Na1 0.000 0.000 0.000 x4
La1 0.250 0.250 0.750 x4
Y1 0.250 0.250 0.250 x4
In1 0.000 0.000 0.500 x4

Properties
Its theoretical density is 5.1 g/cm3. The crystal system is cubic. The calculation puts the magnetic moment at 0.002 μB/atom. The electronic total energy comes out at -4.03 eV per atom. Its calculated formation energy is -0.68 eV/f.u.


Entry 6:
A relaxed structure of In2SiHg. Source: the Alexandria database, functional GGA-PBE.

a b c (Å): 3.249 3.249 9.009
angles (deg): 90.00 90.00 90.00
Space group P4/mmm (No. 123)
Asymmetric unit:
In1 0.000 0.000 0.225 x2
Si1 0.500 0.500 0.000 x1
Hg1 0.500 0.500 0.500 x1

Properties
Its theoretical density is 8.0 g/cm3. The crystal system is tetragonal. The calculation puts the magnetic moment at 0.000 μB/atom. The electronic total energy comes out at -2.56 eV per atom. The uncorrected formation energy comes out at 0.24 eV/atom.


Entry 7:
A relaxed structure of Cd4Ag8Sb. Source: the Alexandria database, functional GGA-PBE.

a b c (Å): 4.121 4.165 15.474
angles (deg): 90.00 90.00 90.00
Space group Pmm2 (No. 25)
Asymmetric unit:
Cd1 0.000 0.000 0.000 x1
Cd2 0.000 0.500 0.150 x1
Cd3 0.500 0.000 0.425 x1
Cd4 0.500 0.500 0.590 x1
Ag1 0.000 0.000 0.289 x1
Ag2 0.000 0.000 0.560 x1
Ag3 0.000 0.500 0.428 x1
Ag4 0.000 0.500 0.862 x1
Ag5 0.500 0.000 0.146 x1
Ag6 0.500 0.000 0.863 x1
Ag7 0.500 0.500 0.005 x1
Ag8 0.500 0.500 0.286 x1
Sb1 0.000 0.000 0.737 x1

Properties
Its theoretical density is 9.0 g/cm3. The crystal system is orthorhombic. The calculation puts the magnetic moment at 0.000 μB/atom. The electronic total energy comes out at -2.33 eV per atom. The uncorrected formation energy comes out at 0.02 eV/atom.


Entry 8:
A relaxed structure of Li4PdRh. Source: the Alexandria database, functional GGA-PBE.

a b c (Å): 5.729 5.729 5.160
angles (deg): 90.00 90.00 90.00
Space group I-4 (No. 82)
Asymmetric unit:
Li1 0.148 0.249 0.125 x8
Pd1 0.000 0.500 0.750 x2
Rh1 0.000 0.000 0.500 x2

Properties
Its theoretical density is 4.6 g/cm3. The crystal system is tetragonal. The calculation puts the magnetic moment at 0.000 μB/atom. The electronic total energy comes out at -3.49 eV per atom. Its calculated formation energy is -0.74 eV/f.u. The energy above the most stable polymorph in this dataset is 113 meV/atom.


Please write out number 1 again, unchanged.
A relaxed structure of ReHgOs. Source: the Alexandria database, functional GGA-PBE.

a b c (Å): 2.863 3.811 9.207
angles (deg): 90.00 90.00 90.00
Space group Imm2 (No. 44)
Asymmetric unit:
Re1 0.000 0.000 0.000 x2
Hg1 0.000 0.000 0.690 x2
Os1 0.000 0.000 0.378 x2

Properties
Its theoretical density is 19.1 g/cm3. The crystal system is orthorhombic. The calculation puts the magnetic moment at 0.000 μB/atom. The electronic total energy comes out at -7.33 eV per atom. Its calculated formation energy is 1.98 eV/f.u. The energy above the most stable polymorph in this dataset is 219 meV/atom.


Look up the theoretical density of the fifth one.
5.1 g/cm3


Which of these has the highest theoretical density?
ReHgOs


Which value of magnetic moment does entry 1 give?
0.000 μB/atom